[1]
First-principles (GGA-PBE) data for a relaxed structure of Ca2Br, as listed in the Alexandria database.

```
data_Ca2Br
_cell_length_a 3.9432
_cell_length_b 16.3313
_cell_length_c 6.3222
_cell_angle_alpha 90.00
_cell_angle_beta 90.00
_cell_angle_gamma 90.00
_symmetry_space_group_name_H-M 'C m c m'
_symmetry_Int_Tables_number 63
_symmetry_space_group_name_Hall '-C 2c 2'
loop_
_atom_site_label
_atom_site_type_symbol
_atom_site_fract_x
_atom_site_fract_y
_atom_site_fract_z
Ca1 Ca 0.0000 0.0551 0.2500
Ca2 Ca 0.0000 0.3579 0.2500
Br1 Br 0.0000 0.2917 0.7500
```

Values from the calculation:
VASP energy in eV per atom: -2.788
Density of states at the Fermi level in states/eV/f.u.: 3.0

[2]
First-principles (GGA-PBE) data for a relaxed structure of PmTcSbRh, as listed in the Alexandria database.

```
data_PmTcSbRh
_cell_length_a 6.7240
_cell_length_b 6.7240
_cell_length_c 6.7240
_cell_angle_alpha 90.00
_cell_angle_beta 90.00
_cell_angle_gamma 90.00
_symmetry_space_group_name_H-M 'F -4 3 m'
_symmetry_Int_Tables_number 216
_symmetry_space_group_name_Hall 'F -4 2 3'
loop_
_atom_site_label
_atom_site_type_symbol
_atom_site_fract_x
_atom_site_fract_y
_atom_site_fract_z
Pm1 Pm 0.0000 0.0000 0.0000
Tc1 Tc 0.2500 0.2500 0.2500
Sb1 Sb 0.0000 0.0000 0.5000
Rh1 Rh 0.2500 0.2500 0.7500
```

Values from the calculation:
VASP energy in eV per atom: -6.949
Density of states at the Fermi level in states/eV/f.u.: 0.6

[3]
First-principles (GGA-PBE) data for a relaxed structure of IrPtF2, as listed in the Alexandria database.

```
data_IrPtF2
_cell_length_a 2.6600
_cell_length_b 2.6600
_cell_length_c 31.3766
_cell_angle_alpha 90.00
_cell_angle_beta 90.00
_cell_angle_gamma 120.00
_symmetry_space_group_name_H-M 'R -3 m'
_symmetry_Int_Tables_number 166
_symmetry_space_group_name_Hall '-R 3 2"'
loop_
_atom_site_label
_atom_site_type_symbol
_atom_site_fract_x
_atom_site_fract_y
_atom_site_fract_z
Ir1 Ir 0.0000 0.0000 0.0000
Pt1 Pt 0.0000 0.0000 0.5000
F1 F 0.0000 0.0000 0.0605
```

Values from the calculation:
VASP energy in eV per atom: -5.169
Density of states at the Fermi level in states/eV/f.u.: 7.0

[4]
First-principles (GGA-PBE) data for a relaxed structure of BaGa2CoN, as listed in the Alexandria database.

```
data_BaGa2CoN
_cell_length_a 5.4222
_cell_length_b 5.4222
_cell_length_c 3.5299
_cell_angle_alpha 90.00
_cell_angle_beta 90.00
_cell_angle_gamma 90.00
_symmetry_space_group_name_H-M 'P 4/m m m'
_symmetry_Int_Tables_number 123
_symmetry_space_group_name_Hall '-P 4 2'
loop_
_atom_site_label
_atom_site_type_symbol
_atom_site_fract_x
_atom_site_fract_y
_atom_site_fract_z
Ba1 Ba 0.0000 0.0000 0.0000
Ga1 Ga 0.0000 0.5000 0.5000
Co1 Co 0.5000 0.5000 0.0000
N1 N 0.5000 0.5000 0.5000
```

Values from the calculation:
VASP energy in eV per atom: -4.397
Density of states at the Fermi level in states/eV/f.u.: 4.7

[5]
First-principles (GGA-PBE) data for a relaxed structure of HgWSe2, as listed in the Alexandria database.

```
data_HgWSe2
_cell_length_a 2.7445
_cell_length_b 3.3664
_cell_length_c 10.5608
_cell_angle_alpha 90.00
_cell_angle_beta 90.40
_cell_angle_gamma 90.00
_symmetry_space_group_name_H-M 'P 1 2/m 1'
_symmetry_Int_Tables_number 10
loop_
_symmetry_equiv_pos_as_xyz
'x,y,z'
'-x,-y,-z'
'-x,y,-z'
'x,-y,z'
loop_
_atom_site_label
_atom_site_type_symbol
_atom_site_fract_x
_atom_site_fract_y
_atom_site_fract_z
Hg1 Hg 0.0000 0.0000 0.0000
W1 W 0.0000 0.0000 0.5000
Se1 Se 0.0046 0.5000 0.6836
```

Values from the calculation:
VASP energy in eV per atom: -4.917
Density of states at the Fermi level in states/eV/f.u.: 2.3

[6]
First-principles (GGA-PBE) data for a relaxed structure of Sr2AgBi, as listed in the Alexandria database.

```
data_Sr2AgBi
_cell_length_a 6.7731
_cell_length_b 6.7731
_cell_length_c 17.3955
_cell_angle_alpha 90.00
_cell_angle_beta 90.00
_cell_angle_gamma 90.00
_symmetry_space_group_name_H-M 'I -4 2 d'
_symmetry_Int_Tables_number 122
_symmetry_space_group_name_Hall 'I -4 2bw'
loop_
_atom_site_label
_atom_site_type_symbol
_atom_site_fract_x
_atom_site_fract_y
_atom_site_fract_z
Sr1 Sr 0.2489 0.2500 0.1250
Ag1 Ag 0.0000 0.0000 0.5000
Bi1 Bi 0.0000 0.0000 0.0000
```

Values from the calculation:
Density of states at the Fermi level in states/eV/f.u.: 0.0
Energy relative to the elements in meV per atom: -174

The highest density of states at the Fermi level belongs to which entry? IrPtF2

What is the density of states at the Fermi level in the second record? 0.6 states/eV/f.u.

Which of these has the highest density of states at the Fermi level? IrPtF2